1.
Rb2NdInI6 | PBE | relaxed

a b c (Å): 8.9237 8.9237 22.5378
angles (deg): 90.00 90.00 120.00
Last column: nearest neighbours and their distance in Å.
Space group R3 (No. 146, hexagonal axes)
Inequivalent atoms, fractional coordinates:
Rb 0.0000 0.0000 0.0000 x3  6 I 3.70-3.82
Rb 0.0000 0.0000 0.4919 x3  6 I 3.73-3.83
Nd 0.0000 0.0000 0.7049 x3  6 I 3.13-3.16
In 0.0000 0.0000 0.2103 x3  6 I 3.43-3.55
I 0.0138 0.4096 0.4478 x9  1 Nd 3.13
I 0.0786 0.7145 0.2869 x9  1 Nd 3.16, 1 In 3.43

2.
NdInSn2I8 | PBE | relaxed

a b c (Å): 7.3723 9.5799 7.8227
angles (deg): 90.00 90.87 90.00
Last column: nearest neighbours and their distance in Å.
Space group P2/m (No. 10)
Inequivalent atoms, fractional coordinates:
Nd 0.0000 0.0000 0.0000 x1  6 I 3.13-3.17
In 0.0000 0.5000 0.0000 x1  6 I 3.39-3.45
Sn 0.5000 0.2545 0.5000 x2  6 I 3.12-3.37
I 0.2446 0.0000 0.6700 x2  1 Nd 3.17, 2 Sn 3.37
I 0.2491 0.2319 0.1596 x4  1 Nd 3.13, 1 Sn 3.23, 1 In 3.39
I 0.2703 0.5000 0.6431 x2  2 Sn 3.12, 1 In 3.45

no.,DFT total energy (eV per atom)
1,-3.14
2,-3.09